(1)
BaLi2GaNi: optimized geometry, PBE-GGA.

Results
ΔE to the lowest computed polymorph, eV/f.u.: 0.41
E_form, meV per atom: -35
Space-group type: No. 123

abc: 4.9418 4.9418 4.7380
angles: 90.00 90.00 90.00
Element x y z (fractional)
1 Ba 0.5000 0.5000 0.5000
2 Li 0.5000 0.0000 0.0000
3 Li 0.0000 0.5000 0.0000
4 Ni 0.0000 0.0000 0.5000
5 Ga 0.0000 0.0000 0.0000



(2)
TbSnHgI6: optimized geometry, PBE-GGA.

Results
E_tot, eV/atom: -2.79
Space-group type: No. 5

abc: 7.8790 7.8789 7.3887
angles: 90.03 89.96 60.00
Element x y z (fractional)
1 I 0.0100 0.6448 0.7396
2 I 0.6441 0.3455 0.7397
3 I 0.0107 0.3451 0.2604
4 I 0.6445 0.0101 0.2603
5 I 0.3448 0.0107 0.7395
6 I 0.3457 0.6439 0.2602
7 Hg 0.0000 0.0000 0.0003
8 Sn 0.6666 0.6666 0.5000
9 Tb 0.3334 0.3334 0.5000



(3)
DyErTmZr: optimized geometry, PBE-GGA.

Results
ΔE to the lowest computed polymorph, eV/f.u.: 0.00
E_form, meV per atom: 78
Space-group type: No. 119

abc: 4.8395 4.8394 5.9076
angles: 114.19 114.18 90.00
Element x y z (fractional)
1 Dy 0.3698 0.8698 0.7396
2 Tm 0.6199 0.6199 0.2398
3 Zr 0.8696 0.3696 0.7392
4 Er 0.1198 0.1198 0.2397



no.,volume (Å³/atom)
1,23.1
2,44.1
3,28.2